1.
Entry from the Alexandria database: an optimized crystal structure of CdHg2Sb (GGA-PBEsol).

Values from the calculation:
- Formation energy (no corrections): 0.0747 eV/atom
- Calculated total energy: -6.589 eV/cell
- DOS at the Fermi energy: 0.342 states/eV per atom
- Crystal system: trigonal
- ΔE to the lowest computed polymorph: 42 meV per atom

Lattice parameters (Å, degrees): 9.3771 9.3771 9.3771 21.35 21.35 21.35
Closest atoms and distances in Å follow each position.
Fractional positions:
Cd 0.0000 0.0000 0.0000  3 Hg 2.94, 3 Sb 3.08
Hg 0.4927 0.4927 0.4927  3 Hg 3.00, 3 Sb 3.16
Hg 0.7448 0.7448 0.7448  3 Cd 2.94, 3 Hg 3.00
Sb 0.2484 0.2484 0.2484  3 Cd 3.08, 3 Hg 3.16

***

2.
Entry from the Alexandria database: an optimized crystal structure of Cr2IrRh (GGA-PBEsol).

Values from the calculation:
- Calculated total energy: -38.917 eV/cell
- DOS at the Fermi energy: 0.812 states/eV per atom
- Crystal system: tetragonal
- DFT formation energy: -45 kJ/mol of formula units

Lattice parameters (Å, degrees): 3.7131 3.7131 3.6397 90.00 90.00 90.00
Closest atoms and distances in Å follow each position.
Fractional positions:
Cr 0.0000 0.5000 0.0000  4 Ir 2.60, 4 Rh 2.60, 4 Cr 2.63
Cr 0.5000 0.0000 0.0000  4 Ir 2.60, 4 Rh 2.60, 4 Cr 2.63
Ir 0.0000 0.0000 0.5000  8 Cr 2.60, 4 Rh 2.63
Rh 0.5000 0.5000 0.5000  8 Cr 2.60, 4 Ir 2.63

***

3.
Entry from the Alexandria database: an optimized crystal structure of ScTl2Cd (GGA-PBEsol).

Values from the calculation:
- Calculated total energy: -13.437 eV/cell
- DOS at the Fermi energy: 0.696 states/eV per atom
- Crystal system: tetragonal
- ΔE to the lowest computed polymorph: 119 meV per atom
- DFT formation energy: -36 kJ/mol of formula units

Lattice parameters (Å, degrees): 3.4802 3.4802 7.8989 90.00 90.00 90.00
Closest atoms and distances in Å follow each position.
Fractional positions:
Sc 0.0000 0.0000 0.0000  4 Cd 3.02, 4 Tl 3.10
Tl 0.0000 0.0000 0.5234  4 Cd 3.18, 8 Tl 3.34-3.48
Tl 0.5000 0.5000 0.2379  4 Sc 3.10, 4 Tl 3.34
Cd 0.5000 0.5000 0.7784  4 Sc 3.02, 4 Tl 3.18

***

4.
Entry from the Alexandria database: an optimized crystal structure of Na3CuSiCO7 (GGA-PBEsol).

Values from the calculation:
- Formation energy (no corrections): -1.7206 eV/atom
- Calculated total energy: -166.075 eV/cell
- DOS at the Fermi energy: 0.199 states/eV per atom
- Crystal system: monoclinic

Lattice parameters (Å, degrees): 5.2233 6.2541 9.1645 90.00 91.52 90.00
Closest atoms and distances in Å follow each position.
Fractional positions:
Na 0.2210 0.2500 0.1009  4 O 2.28-2.37
Na 0.2516 0.5047 0.7360  2 O 2.16-2.29
Na 0.2516 0.9953 0.7360  2 O 2.16-2.29
Na 0.7484 0.0047 0.2640  2 O 2.16-2.29
Na 0.7484 0.4953 0.2640  2 O 2.16-2.29
Na 0.7790 0.7500 0.8991  4 O 2.28-2.37
Cu 0.2342 0.7500 0.3486  4 O 1.84-1.92
Cu 0.7658 0.2500 0.6514  4 O 1.84-1.92
Si 0.3171 0.2500 0.4354  4 O 1.59-1.67
Si 0.6829 0.7500 0.5646  4 O 1.59-1.67
C 0.2942 0.7500 0.0559  3 O 1.27-1.32
C 0.7058 0.2500 0.9441  3 O 1.27-1.32
O 0.1078 0.7500 0.1504  1 C 1.32
O 0.1643 0.2500 0.5830  1 Si 1.59
O 0.2237 0.7500 0.9200  1 C 1.29
O 0.2588 0.0496 0.3196  1 Si 1.67
O 0.2588 0.4504 0.3196  1 Si 1.67
O 0.3660 0.7500 0.5365  1 Si 1.67, 1 Cu 1.84
O 0.4722 0.2500 0.9009  1 C 1.27
O 0.5278 0.7500 0.0991  1 C 1.27
O 0.6340 0.2500 0.4635  1 Si 1.67, 1 Cu 1.84
O 0.7412 0.5496 0.6804  1 Si 1.67
O 0.7412 0.9504 0.6804  1 Si 1.67
O 0.7763 0.2500 0.0800  1 C 1.29
O 0.8357 0.7500 0.4170  1 Si 1.59
O 0.8922 0.2500 0.8496  1 C 1.32

***

5.
Entry from the Alexandria database: an optimized crystal structure of CaNbNiRh2 (GGA-PBEsol).

Values from the calculation:
- Calculated total energy: -28.675 eV/cell
- DOS at the Fermi energy: 1.490 states/eV per atom
- Crystal system: tetragonal
- DFT formation energy: 648 kJ/mol of formula units

Lattice parameters (Å, degrees): 4.6070 4.6070 5.2489 90.00 90.00 90.00
Closest atoms and distances in Å follow each position.
Fractional positions:
Ca 0.0000 0.0000 0.0000  2 Nb 2.62
Nb 0.0000 0.0000 0.5000  4 Rh 2.30
Ni 0.5000 0.5000 0.0000  4 Ca 3.26, 8 Rh 3.49
Rh 0.0000 0.5000 0.5000  2 Nb 2.30
Rh 0.5000 0.0000 0.5000  2 Nb 2.30

***

6.
Entry from the Alexandria database: an optimized crystal structure of ReGeIN2 (GGA-PBEsol).

Values from the calculation:
- Formation energy (no corrections): 2.0332 eV/atom
- Calculated total energy: -26.925 eV/cell
- DOS at the Fermi energy: 0.757 states/eV per atom
- Crystal system: tetragonal

Lattice parameters (Å, degrees): 3.7825 3.7825 6.1964 90.00 90.00 90.00
Closest atoms and distances in Å follow each position.
Fractional positions:
Re 0.0000 0.0000 0.0000  4 I 2.67
Ge 0.5000 0.5000 0.5000  4 N 1.89
I 0.5000 0.5000 0.0000  4 Re 2.67
N 0.0000 0.5000 0.5000  2 Ge 1.89
N 0.5000 0.0000 0.5000  2 Ge 1.89